# 1
The following is a DFT calculation (PBE) of crystalline TbPr6Y at its relaxed geometry.

Formation energy = 0.01 eV/atom
Final energy = -39.7 eV per cell

```
TbPr6Y
1.0
0.000 5.171 7.366
3.707 0.000 7.366
3.707 5.171 0.000
Tb Pr Y
1 6 1
direct
0.000 0.000 0.000
0.123 0.123 0.377
0.249 0.249 0.751
0.377 0.377 0.123
0.623 0.623 0.877
0.751 0.751 0.249
0.877 0.877 0.623
0.500 0.500 0.500
```

***

# 2
The following is a DFT calculation (PBE) of crystalline Tb2Pr3Y8 at its relaxed geometry.

Formation energy = 0.25 eV/atom
Final energy = -72.1 eV per cell

```
Tb2Pr3Y8
1.0
10.119 -3.881 0.000
10.119 3.881 0.000
-0.008 0.000 5.713
Tb Pr Y
2 3 8
direct
0.241 0.241 0.498
0.759 0.759 0.502
0.000 0.000 0.500
0.292 0.708 0.000
0.708 0.292 0.000
0.136 0.136 0.999
0.182 0.600 0.500
0.327 0.327 0.999
0.400 0.818 0.500
0.600 0.182 0.500
0.673 0.673 0.001
0.818 0.400 0.500
0.864 0.864 0.001
```

***

# 3
The following is a DFT calculation (PBE) of crystalline TbPr3Y at its relaxed geometry.

Formation energy = 0.12 eV/atom
Final energy = -99.4 eV per cell

```
TbPr3Y
1.0
6.640 -6.689 0.000
6.640 6.689 0.000
0.000 0.000 7.834
Tb Pr Y
4 12 4
direct
0.099 0.901 0.873
0.401 0.599 0.373
0.599 0.401 0.627
0.901 0.099 0.127
0.092 0.608 0.116
0.101 0.899 0.391
0.108 0.592 0.616
0.392 0.908 0.116
0.399 0.601 0.891
0.408 0.892 0.616
0.592 0.108 0.384
0.601 0.399 0.109
0.608 0.092 0.884
0.892 0.408 0.384
0.899 0.101 0.609
0.908 0.392 0.884
0.241 0.259 0.250
0.259 0.241 0.750
0.741 0.759 0.250
0.759 0.741 0.750
```

***

Question: Which of these has the highest final energy?
Answer: TbPr6Y

***

Question: Which formula does entry 2 have?
Answer: Tb2Pr3Y8

***

What did the second record say?
The following is a DFT calculation (PBE) of crystalline Tb2Pr3Y8 at its relaxed geometry.

Formation energy = 0.25 eV/atom
Final energy = -72.1 eV per cell

```
Tb2Pr3Y8
1.0
10.119 -3.881 0.000
10.119 3.881 0.000
-0.008 0.000 5.713
Tb Pr Y
2 3 8
direct
0.241 0.241 0.498
0.759 0.759 0.502
0.000 0.000 0.500
0.292 0.708 0.000
0.708 0.292 0.000
0.136 0.136 0.999
0.182 0.600 0.500
0.327 0.327 0.999
0.400 0.818 0.500
0.600 0.182 0.500
0.673 0.673 0.001
0.818 0.400 0.500
0.864 0.864 0.001
```

***

Question: Look up the formation energy of the second one.
Answer: 0.25 eV/atom